(1)
# Lu2CdSe4 PBEsol optimized geometry
# * formation energy (no corrections): -1.476 eV/atom
data_Lu2CdSe4
_cell_length_a 8.0913
_cell_length_b 8.0913
_cell_length_c 8.0913
_cell_angle_alpha 60.00
_cell_angle_beta 60.00
_cell_angle_gamma 60.00
_symmetry_space_group_name_H-M 'P 1'
_symmetry_Int_Tables_number 1
_symmetry_space_group_name_Hall 'P 1'
loop_
_atom_site_label
_atom_site_type_symbol
_atom_site_fract_x
_atom_site_fract_y
_atom_site_fract_z
Lu1 Lu 0.1250 0.1250 0.6250
Lu2 Lu 0.1250 0.1250 0.1250
Se1 Se 0.8828 0.8828 0.3517
Lu3 Lu 0.1250 0.6250 0.1250
Se2 Se 0.8983 0.3672 0.3672
Se3 Se 0.3672 0.8983 0.3672
Cd1 Cd 0.5000 0.5000 0.5000
Se4 Se 0.3672 0.3672 0.8983
Lu4 Lu 0.6250 0.1250 0.1250
Cd2 Cd 0.7500 0.7500 0.7500
Se5 Se 0.8828 0.8828 0.8828
Se6 Se 0.3517 0.8828 0.8828
Se7 Se 0.8828 0.3517 0.8828
Se8 Se 0.3672 0.3672 0.3672


(2)
# Lu2TlCd PBEsol optimized geometry
# * formation energy: -1.37 eV per formula unit
data_Lu2TlCd
_cell_length_a 5.1311
_cell_length_b 5.1311
_cell_length_c 5.1311
_cell_angle_alpha 60.00
_cell_angle_beta 60.00
_cell_angle_gamma 60.00
_symmetry_space_group_name_H-M 'P 1'
_symmetry_Int_Tables_number 1
_symmetry_space_group_name_Hall 'P 1'
loop_
_atom_site_label
_atom_site_type_symbol
_atom_site_fract_x
_atom_site_fract_y
_atom_site_fract_z
Lu1 Lu 0.2500 0.2500 0.2500
Cd1 Cd 0.5000 0.5000 0.5000
Tl1 Tl 0.0000 0.0000 0.0000
Lu2 Lu 0.7500 0.7500 0.7500


(3)
# YLuCd2 PBEsol optimized geometry
# * formation energy: -1.43 eV per formula unit
data_YLuCd2
_cell_length_a 5.1536
_cell_length_b 5.1536
_cell_length_c 5.1536
_cell_angle_alpha 60.00
_cell_angle_beta 60.00
_cell_angle_gamma 60.00
_symmetry_space_group_name_H-M 'P 1'
_symmetry_Int_Tables_number 1
_symmetry_space_group_name_Hall 'P 1'
loop_
_atom_site_label
_atom_site_type_symbol
_atom_site_fract_x
_atom_site_fract_y
_atom_site_fract_z
Cd1 Cd 0.2500 0.2500 0.2500
Lu1 Lu 0.5000 0.5000 0.5000
Y1 Y 0.0000 0.0000 0.0000
Cd2 Cd 0.7500 0.7500 0.7500


(4)
# Mg2Cd PBEsol optimized geometry
# * formation energy: -0.22 eV per formula unit
data_Mg2Cd
_cell_length_a 3.1614
_cell_length_b 3.1614
_cell_length_c 6.8062
_cell_angle_alpha 103.43
_cell_angle_beta 103.43
_cell_angle_gamma 90.00
_symmetry_space_group_name_H-M 'P 1'
_symmetry_Int_Tables_number 1
_symmetry_space_group_name_Hall 'P 1'
loop_
_atom_site_label
_atom_site_type_symbol
_atom_site_fract_x
_atom_site_fract_y
_atom_site_fract_z
Mg1 Mg 0.1600 0.1600 0.3200
Cd1 Cd 0.5000 0.5000 0.0000
Mg2 Mg 0.8400 0.8400 0.6800


(5)
# MgCd PBEsol optimized geometry
# * formation energy: -0.22 eV per formula unit
data_MgCd
_cell_length_a 3.4532
_cell_length_b 3.4532
_cell_length_c 3.4532
_cell_angle_alpha 90.00
_cell_angle_beta 90.00
_cell_angle_gamma 90.00
_symmetry_space_group_name_H-M 'P 1'
_symmetry_Int_Tables_number 1
_symmetry_space_group_name_Hall 'P 1'
loop_
_atom_site_label
_atom_site_type_symbol
_atom_site_fract_x
_atom_site_fract_y
_atom_site_fract_z
Cd1 Cd 0.0000 0.0000 0.0000
Mg1 Mg 0.5000 0.5000 0.5000


(6)
# MgCd PBEsol optimized geometry
# * formation energy: -0.07 eV per formula unit
data_MgCd
_cell_length_a 4.9069
_cell_length_b 4.9069
_cell_length_c 4.9069
_cell_angle_alpha 60.00
_cell_angle_beta 60.00
_cell_angle_gamma 60.00
_symmetry_space_group_name_H-M 'P 1'
_symmetry_Int_Tables_number 1
_symmetry_space_group_name_Hall 'P 1'
loop_
_atom_site_label
_atom_site_type_symbol
_atom_site_fract_x
_atom_site_fract_y
_atom_site_fract_z
Cd1 Cd 0.7500 0.7500 0.7500
Mg1 Mg 0.2500 0.2500 0.2500
Cd2 Cd 0.5000 0.5000 0.5000
Mg2 Mg 0.0000 0.0000 0.0000


(7)
# Mg2Cd PBEsol optimized geometry
# * formation energy: -0.21 eV per formula unit
data_Mg2Cd
_cell_length_a 3.1774
_cell_length_b 5.8771
_cell_length_c 7.3245
_cell_angle_alpha 103.21
_cell_angle_beta 90.00
_cell_angle_gamma 105.68
_symmetry_space_group_name_H-M 'P 1'
_symmetry_Int_Tables_number 1
_symmetry_space_group_name_Hall 'P 1'
loop_
_atom_site_label
_atom_site_type_symbol
_atom_site_fract_x
_atom_site_fract_y
_atom_site_fract_z
Cd1 Cd 0.9947 0.9895 0.9958
Mg1 Mg 0.7149 0.4297 0.9483
Mg2 Mg 0.3903 0.7806 0.2741
Cd2 Cd 0.6709 0.3418 0.3368
Mg3 Mg 0.3366 0.6731 0.6719
Mg4 Mg 0.0593 0.1187 0.6064


(8)
# MgCd PBEsol optimized geometry
# * formation energy: -0.20 eV per formula unit
data_MgCd
_cell_length_a 3.1160
_cell_length_b 5.2827
_cell_length_c 5.7818
_cell_angle_alpha 113.54
_cell_angle_beta 105.63
_cell_angle_gamma 90.00
_symmetry_space_group_name_H-M 'P 1'
_symmetry_Int_Tables_number 1
_symmetry_space_group_name_Hall 'P 1'
loop_
_atom_site_label
_atom_site_type_symbol
_atom_site_fract_x
_atom_site_fract_y
_atom_site_fract_z
Cd1 Cd 0.3722 0.2079 0.7445
Mg1 Mg 0.1206 0.2946 0.2413
Cd2 Cd 0.6278 0.7921 0.2555
Mg2 Mg 0.8794 0.7054 0.7587


(9)
# Mg2Cd PBEsol optimized geometry
# * formation energy: -0.15 eV per formula unit
data_Mg2Cd
_cell_length_a 3.1917
_cell_length_b 3.1917
_cell_length_c 14.6702
_cell_angle_alpha 90.00
_cell_angle_beta 90.00
_cell_angle_gamma 120.00
_symmetry_space_group_name_H-M 'P 1'
_symmetry_Int_Tables_number 1
_symmetry_space_group_name_Hall 'P 1'
loop_
_atom_site_label
_atom_site_type_symbol
_atom_site_fract_x
_atom_site_fract_y
_atom_site_fract_z
Mg1 Mg 0.6667 0.3333 0.4130
Mg2 Mg 0.6667 0.3333 0.0870
Cd1 Cd 0.6667 0.3333 0.7500
Mg3 Mg 0.3333 0.6667 0.9130
Mg4 Mg 0.3333 0.6667 0.5870
Cd2 Cd 0.3333 0.6667 0.2500


(10)
# Mg5Cd PBEsol optimized geometry
# * formation energy: -0.30 eV per formula unit
data_Mg5Cd
_cell_length_a 5.0646
_cell_length_b 5.4417
_cell_length_c 5.4417
_cell_angle_alpha 120.00
_cell_angle_beta 90.00
_cell_angle_gamma 90.00
_symmetry_space_group_name_H-M 'P 1'
_symmetry_Int_Tables_number 1
_symmetry_space_group_name_Hall 'P 1'
loop_
_atom_site_label
_atom_site_type_symbol
_atom_site_fract_x
_atom_site_fract_y
_atom_site_fract_z
Mg1 Mg 0.0000 0.3269 0.3269
Cd1 Cd 0.5000 0.0000 0.0000
Mg2 Mg 0.5000 0.6667 0.3333
Mg3 Mg 0.0000 0.6731 0.0000
Mg4 Mg 0.0000 0.0000 0.6731
Mg5 Mg 0.5000 0.3333 0.6667


(11)
# Mg2Cd PBEsol optimized geometry
# * formation energy: -0.20 eV per formula unit
data_Mg2Cd
_cell_length_a 3.1689
_cell_length_b 4.9698
_cell_length_c 8.2506
_cell_angle_alpha 90.00
_cell_angle_beta 101.07
_cell_angle_gamma 90.00
_symmetry_space_group_name_H-M 'P 1'
_symmetry_Int_Tables_number 1
_symmetry_space_group_name_Hall 'P 1'
loop_
_atom_site_label
_atom_site_type_symbol
_atom_site_fract_x
_atom_site_fract_y
_atom_site_fract_z
Mg1 Mg 0.3323 0.0000 0.6646
Mg2 Mg 0.4453 0.5000 0.8905
Mg3 Mg 0.6659 0.0000 0.3318
Cd1 Cd 0.1098 0.5000 0.2196
Cd2 Cd 0.7791 0.5000 0.5581
Mg4 Mg 0.0010 0.0000 0.0020


(12)
# Mg5Cd4 PBEsol optimized geometry
# * formation energy: -0.73 eV per formula unit
# * excess energy over the best structure of this formula in the dataset: 0 meV per atom
data_Mg5Cd4
_cell_length_a 4.4385
_cell_length_b 6.8913
_cell_length_c 6.8913
_cell_angle_alpha 84.05
_cell_angle_beta 71.21
_cell_angle_gamma 71.21
_symmetry_space_group_name_H-M 'P 1'
_symmetry_Int_Tables_number 1
_symmetry_space_group_name_Hall 'P 1'
loop_
_atom_site_label
_atom_site_type_symbol
_atom_site_fract_x
_atom_site_fract_y
_atom_site_fract_z
Cd1 Cd 0.6684 0.3316 0.3316
Mg1 Mg 0.3309 0.3382 0.0000
Cd2 Cd 0.0000 0.3316 0.6684
Cd3 Cd 0.3316 0.6684 0.6684
Mg2 Mg 0.6691 0.0000 0.6618
Mg3 Mg 0.6691 0.6618 0.0000
Cd4 Cd 0.0000 0.6684 0.3316
Mg4 Mg 0.3309 0.0000 0.3382
Mg5 Mg 0.0000 0.0000 0.0000


(13)
# MgCd3 PBEsol optimized geometry
# * formation energy: -0.21 eV per formula unit
# * excess energy over the best structure of this formula in the dataset: 26 meV per atom
data_MgCd3
_cell_length_a 3.1590
_cell_length_b 5.3197
_cell_length_c 5.3197
_cell_angle_alpha 110.10
_cell_angle_beta 90.00
_cell_angle_gamma 90.00
_symmetry_space_group_name_H-M 'P 1'
_symmetry_Int_Tables_number 1
_symmetry_space_group_name_Hall 'P 1'
loop_
_atom_site_label
_atom_site_type_symbol
_atom_site_fract_x
_atom_site_fract_y
_atom_site_fract_z
Cd1 Cd 0.5000 0.5000 0.0000
Cd2 Cd 0.0000 0.0000 0.0000
Mg1 Mg 0.0000 0.5000 0.5000
Cd3 Cd 0.5000 0.0000 0.5000


(14)
# MgCd3 PBEsol optimized geometry
# * formation energy: -0.24 eV per formula unit
# * excess energy over the best structure of this formula in the dataset: 19 meV per atom
data_MgCd3
_cell_length_a 3.1237
_cell_length_b 4.9988
_cell_length_c 5.3068
_cell_angle_alpha 90.00
_cell_angle_beta 90.00
_cell_angle_gamma 90.00
_symmetry_space_group_name_H-M 'P 1'
_symmetry_Int_Tables_number 1
_symmetry_space_group_name_Hall 'P 1'
loop_
_atom_site_label
_atom_site_type_symbol
_atom_site_fract_x
_atom_site_fract_y
_atom_site_fract_z
Mg1 Mg 0.0000 0.5000 0.3354
Cd1 Cd 0.5000 0.0000 0.4988
Cd2 Cd 0.5000 0.5000 0.8296
Cd3 Cd 0.0000 0.0000 0.0028


Calculated theoretical density (g cm⁻³), listed in the same order as above: 6.900, 11.590, 8.385, 4.161, 5.513, 5.435, 4.180, 5.444, 4.132, 2.991, 4.194, 5.020, 7.151, 7.245
Calculated total magnetization (μB per formula unit), listed in the same order as above: 0.000, 0.000, 0.000, 0.000, 0.000, 0.000, 0.000, 0.000, 0.000, 0.000, 0.000, 0.000, 0.000, 0.000